First-principles (PBE) data for Pr8HoSc3 after structural relaxation, as listed in Alexandria via LeMat-Bulk.

Cell: 8.6462 8.6462 8.6462 Å, 95.75 102.34 133.32°
Sites, in units of the cell vectors:
Pr: 0.5104 0.2227 0.2876
Pr: 0.4896 0.7772 0.7123
Pr: 0.0649 0.7773 0.2878
Pr: 0.9351 0.2228 0.7124
Pr: 0.1643 0.2522 0.4160
Pr: 0.8357 0.2517 0.0879
Pr: 0.1637 0.7478 0.9121
Pr: 0.8363 0.7483 0.5840
Ho: 0.0000 0.0000 0.0000
Sc: 0.5000 0.7872 0.2872
Sc: 0.5000 0.2128 0.7128
Sc: 0.0000 0.5000 0.5000

## Properties
Size of the total moment = 0.00 μB/f.u.
ΔE_f = 0.3993 eV/atom
Fermi-level density of states = 1.4976 states/eV/atom
Space-group type = Immm, No. 71
DFT total energy = -4.75 eV/atom

First-principles (PBE) data for Rb2MnPdSe4 after structural relaxation, as listed in Alexandria via LeMat-Bulk.

Cell: 5.8409 7.5798 12.0882 Å, 84.66 76.02 67.34°
Sites, in units of the cell vectors:
Rb: 0.1806 0.0000 0.6387
Rb: 0.8194 0.0000 0.3613
Rb: 0.5694 0.5000 0.8613
Rb: 0.9306 0.5000 0.1387
Mn: 0.2500 0.5000 0.5000
Mn: 0.5000 0.0000 0.0000
Pd: 0.7500 0.5000 0.5000
Pd: 0.0000 0.0000 0.0000
Se: 0.3165 0.8069 0.1143
Se: 0.2378 0.1931 0.8857
Se: 0.8766 0.8069 0.8857
Se: 0.5691 0.1931 0.1143
Se: 0.4335 0.6931 0.3857
Se: 0.5122 0.3069 0.6143
Se: 0.8734 0.6931 0.6143
Se: 0.1809 0.3069 0.3857

## Properties
Size of the total moment = 1.67 μB/f.u.
Fermi-level density of states = 0.6004 states/eV/atom
Space-group type = Fddd, No. 70
DFT total energy = -4.47 eV/atom
Formation energy (no corrections) = -0.692 eV/atom

First-principles (PBE) data for SrSi2Se after structural relaxation, as listed in Alexandria via LeMat-Bulk.

Cell: 7.5736 7.5736 6.4990 Å, 54.36 54.36 90.00°
Sites, in units of the cell vectors:
Sr: 0.0000 0.0000 0.0000
Sr: 0.7500 0.2500 0.5000
Si: 0.5469 0.1250 0.2500
Si: 0.2031 0.6250 0.2500
Si: 0.3750 0.4531 0.7500
Si: 0.8750 0.7969 0.7500
Se: 0.5000 0.5000 0.0000
Se: 0.2500 0.7500 0.5000

## Properties
Size of the total moment = 0.00 μB/f.u.
Fermi-level density of states = 0.4282 states/eV/atom
Space-group type = I-42d, No. 122
DFT total energy = -3.87 eV/atom
Formation energy (no corrections) = 0.131 eV/atom

First-principles (PBE) data for TmHfSc3 after structural relaxation, as listed in Alexandria via LeMat-Bulk.

Cell: 4.5690 8.7110 6.6096 Å, 100.83 90.00 105.20°
Sites, in units of the cell vectors:
Tm: 0.6022 0.2044 0.5556
Tm: 0.3978 0.7956 0.4444
Hf: 0.7951 0.5903 0.1331
Hf: 0.2049 0.4098 0.8669
Sc: 0.9974 0.9948 0.2436
Sc: 0.0025 0.0051 0.7564
Sc: 0.3935 0.7870 0.9521
Sc: 0.6065 0.2130 0.0479
Sc: 0.2029 0.4058 0.3389
Sc: 0.7971 0.5942 0.6611

## Properties
Energy above the most stable polymorph in this dataset = 29 meV/atom
Size of the total moment = 0.00 μB/f.u.
ΔE_f = 0.0581 eV/atom
Fermi-level density of states = 1.2859 states/eV/atom
Space-group type = C2/m, No. 12
DFT total energy = -6.63 eV/atom

First-principles (PBE) data for TeOsRu2 after structural relaxation, as listed in Alexandria via LeMat-Bulk.

Cell: 2.9342 3.7770 5.8178 Å, 90.00 90.00 90.00°
Sites, in units of the cell vectors:
Os: 0.5000 0.5000 0.7891
Ru: 0.0000 0.0000 0.9867
Ru: 0.5000 0.5000 0.2447
Te: 0.0000 0.0000 0.4795

## Properties
Size of the total moment = 0.00 μB/f.u.
Fermi-level density of states = 1.0149 states/eV/atom
Space-group type = Pmm2, No. 25
DFT total energy = -7.68 eV/atom
Formation energy (no corrections) = 0.553 eV/atom

First-principles (PBE) data for Sr2NdGeS5 after structural relaxation, as listed in Alexandria via LeMat-Bulk.

Cell: 4.2448 9.1876 12.1533 Å, 90.00 90.00 103.36°
Sites, in units of the cell vectors:
Sr: 0.8799 0.7598 0.8302
Sr: 0.1152 0.2305 0.6836
Sr: 0.1201 0.2402 0.3302
Sr: 0.8848 0.7695 0.1836
Nd: 0.7938 0.5876 0.5279
Nd: 0.2062 0.4124 0.0279
Ge: 0.5510 0.1020 0.9375
Ge: 0.4490 0.8980 0.4375
S: 0.3577 0.7153 0.0084
S: 0.6764 0.3528 0.8682
S: 0.4974 0.9948 0.7682
S: 0.2960 0.5920 0.6799
S: 0.9619 0.9238 0.5201
S: 0.6423 0.2847 0.5084
S: 0.3236 0.6472 0.3682
S: 0.5026 0.0052 0.2682
S: 0.7040 0.4080 0.1799
S: 0.0381 0.0762 0.0201

## Properties
Size of the total moment = 0.00 μB/f.u.
Fermi-level density of states = 0.1518 states/eV/atom
Space-group type = Cmc2_1, No. 36
DFT total energy = -5.29 eV/atom
Formation energy (no corrections) = -1.583 eV/atom

First-principles (PBE) data for ZrBe2Os after structural relaxation, as listed in Alexandria via LeMat-Bulk.

Cell: 3.9624 3.9624 8.5264 Å, 76.56 76.56 90.00°
Sites, in units of the cell vectors:
Be: 0.8645 0.1250 0.2500
Be: 0.8855 0.6250 0.2500
Be: 0.3750 0.1355 0.7500
Be: 0.8750 0.1145 0.7500
Os: 0.0000 0.0000 0.0000
Os: 0.7500 0.2500 0.5000
Zr: 0.5000 0.5000 0.0000
Zr: 0.2500 0.7500 0.5000

## Properties
Energy above the most stable polymorph in this dataset = 571 meV/atom
Size of the total moment = 0.00 μB/f.u.
ΔE_f = 0.2275 eV/atom
Fermi-level density of states = 0.7886 states/eV/atom
Space-group type = I-42d, No. 122
DFT total energy = -6.58 eV/atom

First-principles (PBE) data for KPb5S6 after structural relaxation, as listed in Alexandria via LeMat-Bulk.

Cell: 7.3441 7.3777 7.3297 Å, 59.78 80.43 70.71°
Sites, in units of the cell vectors:
Pb: 0.5000 0.1660 0.6679
Pb: 0.0000 0.3355 0.3290
Pb: 0.5000 0.5000 0.0000
Pb: 0.0000 0.6645 0.6710
Pb: 0.5000 0.8340 0.3321
K: 0.0000 0.0000 0.0000
S: 0.7392 0.0891 0.3477
S: 0.2608 0.5632 0.3477
S: 0.2441 0.2708 0.0000
S: 0.7559 0.7292 0.0000
S: 0.7392 0.4368 0.6523
S: 0.2608 0.9109 0.6523

## Properties
Size of the total moment = 0.00 μB/f.u.
Fermi-level density of states = 0.5040 states/eV/atom
Space-group type = C2/m, No. 12
DFT total energy = -4.28 eV/atom
Formation energy (no corrections) = -0.582 eV/atom